Record 1
MgCuPt3: relaxed, PBE.

POSCAR file:
```
MgCuPt3
1.0
4.689 0.000 0.000
0.000 6.454 0.002
0.000 -3.224 5.592
Mg Cu Pt
2 2 6
direct
0.250 0.333 0.667 Mg
0.750 0.667 0.333 Mg
0.000 0.000 0.000 Cu
0.500 0.000 0.000 Cu
0.250 0.803 0.197 Pt
0.750 0.197 0.803 Pt
0.250 0.802 0.605 Pt
0.750 0.198 0.395 Pt
0.250 0.395 0.198 Pt
0.750 0.605 0.802 Pt
```

Energy of formation from the pure elements = -8 kJ per mole of atoms
Space-group type = No. 194

=====

Record 2
AcPrSmEu: relaxed, PBE.

POSCAR file:
```
AcPrSmEu
1.0
-2.840 0.528 5.305
2.114 -2.899 4.859
2.559 3.114 4.499
Eu Pr Ac Sm
1 1 1 1
direct
0.000 0.000 0.000 Eu
0.750 0.750 0.750 Pr
0.500 0.500 0.500 Ac
0.250 0.250 0.250 Sm
```

Energy of formation from the pure elements = 14 kJ per mole of atoms
Space-group type = No. 216

=====

Record 3
HfMg2Ag: relaxed, PBE.

POSCAR file:
```
HfMg2Ag
1.0
-1.598 1.849 1.846
-2.444 -1.074 1.501
4.569 -2.368 8.868
Hf Mg Ag
1 2 1
direct
0.500 0.500 0.499 Hf
0.078 0.078 0.767 Mg
0.255 0.255 0.234 Mg
0.667 0.667 0.000 Ag
```

Energy of formation from the pure elements = 2 kJ per mole of atoms
Space-group type = No. 160

=====

Record 4
NpHgI2: relaxed, PBE.

POSCAR file:
```
NpHgI2
1.0
4.063 0.000 0.000
2.031 3.518 0.000
2.031 1.173 11.119
Np I Hg
1 2 1
direct
0.000 0.000 0.000 Np
0.270 0.270 0.189 I
0.730 0.730 0.811 I
0.500 0.500 0.500 Hg
```

ΔE_f (raw) = -0.49 eV per atom
Space-group type = No. 166

=====

Record 5
Tb6PmY: relaxed, PBE.

POSCAR file:
```
Tb6PmY
1.0
6.315 -0.204 2.365
0.517 6.497 -0.752
1.010 -1.031 6.879
Tb Pm Y
6 1 1
direct
0.096 0.730 0.478 Tb
0.571 0.771 0.525 Tb
0.429 0.229 0.475 Tb
0.904 0.270 0.522 Tb
0.542 0.752 0.001 Tb
0.458 0.248 0.999 Tb
0.000 0.500 0.000 Pm
0.000 0.000 0.000 Y
```

Energy of formation from the pure elements = 19 kJ per mole of atoms
Space-group type = No. 2

=====

Record 6
Cr2In2Ge: relaxed, PBE.

POSCAR file:
```
Cr2In2Ge
1.0
-3.182 -0.300 -0.662
-0.592 -0.656 3.142
-3.026 8.122 2.822
Cr Ge In
2 1 2
direct
0.750 0.250 0.500 Cr
0.250 0.750 0.500 Cr
0.000 0.000 0.000 Ge
0.383 0.383 0.234 In
0.617 0.617 0.766 In
```

Energy of formation from the pure elements = 49 kJ per mole of atoms
Space-group type = No. 139

=====

Record 7
TlRe2Rh: relaxed, PBE.

POSCAR file:
```
TlRe2Rh
1.0
-1.946 2.172 3.967
1.946 -2.172 3.967
1.946 2.172 -3.967
Tl Re Rh
1 2 1
direct
0.758 0.258 0.500 Tl
0.020 0.020 0.000 Re
0.221 0.721 0.500 Re
0.502 0.502 0.000 Rh
```

Energy of formation from the pure elements = 60 kJ per mole of atoms
Space-group type = No. 44

=====

Record 8
In2Hg6Bi: relaxed, PBE.

POSCAR file:
```
In2Hg6Bi
1.0
6.072 0.000 0.000
0.000 6.072 0.000
-3.036 -3.036 7.432
In Hg Bi
2 6 1
direct
0.276 0.276 0.552 In
0.724 0.724 0.448 In
0.908 0.258 0.166 Hg
0.742 0.742 0.834 Hg
0.258 0.908 0.166 Hg
0.092 0.092 0.834 Hg
0.750 0.250 0.500 Hg
0.250 0.750 0.500 Hg
0.500 0.500 0.000 Bi
```

Energy of formation from the pure elements = 7 kJ per mole of atoms
Space-group type = No. 121

=====

Record 9
AcPmBeRh: relaxed, PBE.

POSCAR file:
```
AcPmBeRh
1.0
5.142 0.000 0.000
2.571 4.453 0.000
2.571 1.484 4.198
Be Ac Rh Pm
1 1 1 1
direct
0.000 0.000 0.000 Be
0.750 0.750 0.750 Ac
0.500 0.500 0.500 Rh
0.250 0.250 0.250 Pm
```

Energy of formation from the pure elements = -12 kJ per mole of atoms
Space-group type = No. 216

=====

Record 10
PuCu6P4: relaxed, PBE.

POSCAR file:
```
PuCu6P4
1.0
-5.650 1.297 1.986
1.392 -5.881 -1.014
4.662 0.864 3.882
Pu Cu P
1 6 4
direct
0.000 0.000 0.000 Pu
0.000 0.776 0.492 Cu
0.000 0.492 0.776 Cu
0.716 0.224 0.224 Cu
0.500 0.000 0.500 Cu
0.284 0.508 0.508 Cu
0.500 0.500 0.000 Cu
0.000 0.140 0.588 P
0.552 0.412 0.412 P
0.000 0.588 0.140 P
0.448 0.860 0.860 P
```

Energy of formation from the pure elements = -19 kJ per mole of atoms
Space-group type = No. 121

=====

Record 11
Pm12NdHo2: relaxed, PBE.

POSCAR file:
```
Pm12NdHo2
1.0
-2.319 -0.664 6.051
-4.034 -4.720 -1.971
17.979 -17.444 4.975
Pm Nd Ho
24 2 4
direct
0.500 0.500 0.783 Pm
0.000 0.000 0.783 Pm
0.682 0.818 0.881 Pm
0.184 0.684 0.886 Pm
0.000 0.000 0.338 Pm
0.316 0.816 0.114 Pm
0.832 0.332 0.562 Pm
0.500 0.500 0.338 Pm
0.318 0.182 0.881 Pm
0.818 0.682 0.119 Pm
0.332 0.168 0.562 Pm
0.668 0.168 0.438 Pm
0.000 0.000 0.662 Pm
0.168 0.332 0.438 Pm
0.182 0.318 0.119 Pm
0.832 0.668 0.438 Pm
0.668 0.832 0.562 Pm
0.000 0.000 0.217 Pm
0.168 0.668 0.562 Pm
0.500 0.500 0.662 Pm
0.816 0.316 0.886 Pm
0.500 0.500 0.217 Pm
0.332 0.832 0.438 Pm
0.684 0.184 0.114 Pm
0.500 0.000 0.998 Nd
0.000 0.500 0.002 Nd
0.500 0.000 0.274 Ho
0.000 0.500 0.274 Ho
0.000 0.500 0.726 Ho
0.500 0.000 0.726 Ho
```

Energy of formation from the pure elements = 30 kJ per mole of atoms
Space-group type = No. 67

=====

Record 12
TmIn2Pb: relaxed, PBE.

POSCAR file:
```
TmIn2Pb
1.0
5.008 0.000 0.000
0.000 4.562 0.000
0.000 0.000 4.562
Pb Tm In
1 1 2
direct
0.500 0.500 0.500 Pb
0.500 0.000 0.000 Tm
0.000 0.000 0.500 In
0.000 0.500 0.000 In
```

Energy of formation from the pure elements = -29 kJ per mole of atoms
Space-group type = No. 123

=====

Record 13
NbInCoPd: relaxed, PBE.

POSCAR file:
```
NbInCoPd
1.0
-3.610 -0.847 -2.558
-1.457 -4.232 -0.509
-3.865 -1.298 1.917
Nb Co Pd In
1 1 1 1
direct
0.250 0.250 0.250 Nb
0.500 0.500 0.500 Co
0.000 0.000 0.000 Pd
0.750 0.750 0.750 In
```

Energy of formation from the pure elements = -12 kJ per mole of atoms
Space-group type = No. 216

=====

Record 14
Dy4Zn3Au: relaxed, PBE.

POSCAR file:
```
Dy4Zn3Au
1.0
-0.872 3.545 -0.535
-3.844 -1.258 -2.072
-5.367 0.168 9.856
Dy Zn Au
4 3 1
direct
0.500 0.500 0.351 Dy
0.000 0.500 0.853 Dy
0.000 0.000 0.147 Dy
0.500 0.000 0.651 Dy
0.000 0.500 0.572 Zn
0.000 0.000 0.428 Zn
0.500 0.000 0.923 Zn
0.500 0.500 0.076 Au
```

Energy of formation from the pure elements = -42 kJ per mole of atoms
Space-group type = No. 25

=====

Record 15
Mo3Au: relaxed, PBE.

POSCAR file:
```
Mo3Au
1.0
4.975 0.000 0.000
0.000 9.226 0.000
0.000 0.000 5.670
Mo Au
12 4
direct
0.909 0.250 0.881 Mo
0.238 0.993 0.347 Mo
0.238 0.507 0.347 Mo
0.262 0.493 0.847 Mo
0.262 0.007 0.847 Mo
0.591 0.750 0.381 Mo
0.409 0.250 0.619 Mo
0.738 0.993 0.153 Mo
0.738 0.507 0.153 Mo
0.762 0.493 0.653 Mo
0.762 0.007 0.653 Mo
0.091 0.750 0.119 Mo
0.084 0.750 0.619 Au
0.416 0.250 0.119 Au
0.584 0.750 0.881 Au
0.916 0.250 0.381 Au
```

Energy of formation from the pure elements = 26 kJ per mole of atoms
Space-group type = No. 62

=====

Record 16
CeHoEr4S8: relaxed, PBE.

POSCAR file:
```
CeHoEr4S8
1.0
8.046 0.000 0.000
4.023 6.968 0.000
4.023 2.323 6.580
Ce Ho Er S
1 1 4 8
direct
0.375 0.375 0.876 Ce
0.000 0.000 0.000 Ho
0.625 0.625 0.125 Er
0.000 0.500 0.500 Er
0.500 0.000 0.500 Er
0.000 0.000 0.500 Er
0.238 0.787 0.736 S
0.787 0.238 0.736 S
0.238 0.238 0.736 S
0.237 0.237 0.288 S
0.756 0.229 0.258 S
0.229 0.756 0.258 S
0.756 0.756 0.258 S
0.757 0.757 0.728 S
```

ΔE_f (raw) = -1.91 eV per atom
Space-group type = No. 160

=====

Record 17
HfSb2F: relaxed, PBE.

POSCAR file:
```
HfSb2F
1.0
-1.440 -0.407 3.974
-2.661 -3.052 -1.277
5.053 -8.701 3.209
Sb Hf F
4 2 2
direct
0.626 0.125 0.250 Sb
0.124 0.625 0.250 Sb
0.375 0.374 0.750 Sb
0.875 0.876 0.750 Sb
0.000 0.000 0.000 Hf
0.750 0.250 0.500 Hf
0.500 0.500 0.000 F
0.250 0.750 0.500 F
```

ΔE_f (raw) = -0.39 eV per atom
Space-group type = No. 122

=====

Record 18
Tb6Pm3SmTm2: relaxed, PBE.

POSCAR file:
```
Tb6Pm3SmTm2
1.0
6.193 0.001 0.007
-3.095 5.364 0.007
-1.042 -1.805 11.669
Tb Pm Sm Tm
6 3 1 2
direct
0.917 0.583 0.753 Tb
0.749 0.749 0.247 Tb
0.083 0.417 0.247 Tb
0.583 0.917 0.753 Tb
0.251 0.251 0.753 Tb
0.417 0.083 0.247 Tb
0.167 0.833 0.500 Pm
0.833 0.167 0.500 Pm
0.500 0.500 0.500 Pm
0.000 0.000 0.000 Sm
0.333 0.667 0.000 Tm
0.667 0.333 0.000 Tm
```

Energy of formation from the pure elements = 2 kJ per mole of atoms
Space-group type = No. 12

=====

Record 19
Rb4Sm3NpTe8: relaxed, PBE.

POSCAR file:
```
Rb4Sm3NpTe8
1.0
9.219 0.000 0.000
0.000 10.057 0.601
-4.610 -4.602 6.517
Rb Sm Np Te
4 3 1 8
direct
0.500 0.000 0.000 Rb
0.500 0.000 0.500 Rb
0.000 0.000 0.000 Rb
0.000 0.000 0.500 Rb
0.500 0.500 0.000 Sm
0.500 0.500 0.500 Sm
0.000 0.500 0.500 Sm
0.000 0.500 0.000 Np
0.234 0.702 0.968 Te
0.234 0.702 0.468 Te
0.266 0.297 0.531 Te
0.734 0.702 0.968 Te
0.266 0.298 0.032 Te
0.734 0.703 0.469 Te
0.766 0.298 0.532 Te
0.766 0.298 0.032 Te
```

ΔE_f (raw) = -1.27 eV per atom
Space-group type = No. 12

=====

Record 20
HfZn11Ag: relaxed, PBE.

POSCAR file:
```
HfZn11Ag
1.0
-1.481 -2.281 4.490
-2.761 -6.086 -0.937
4.833 -3.748 2.759
Hf Zn Ag
1 11 1
direct
0.000 0.000 0.000 Hf
0.281 0.208 0.213 Zn
0.719 0.792 0.787 Zn
0.507 0.792 0.213 Zn
0.493 0.208 0.787 Zn
0.348 0.652 0.646 Zn
0.652 0.348 0.354 Zn
0.006 0.348 0.646 Zn
0.994 0.652 0.354 Zn
0.000 0.500 0.000 Zn
0.500 0.000 0.500 Zn
0.000 0.000 0.500 Zn
0.500 0.500 0.000 Ag
```

Energy of formation from the pure elements = -5 kJ per mole of atoms
Space-group type = No. 12